Crystalline NdZnRh at its relaxed geometry. Source: Alexandria via LeMat-Bulk, functional PBE-GGA.

Cell: 4.174 5.570 6.246 Å, 74.37 70.48 68.00°
Positions (direct):
Nd 0.062 0.188 0.688
Nd 0.938 0.812 0.312
Rh 0.343 0.624 0.690
Rh 0.657 0.376 0.310
Zn 0.682 0.719 0.917
Zn 0.318 0.281 0.083

Energy of formation ... -0.59 eV/atom
Crystal system ... monoclinic

Crystalline KScTiBr6 at its relaxed geometry. Source: Alexandria via LeMat-Bulk, functional PBE-GGA.

Cell: 6.842 6.842 15.119 Å, 90.00 90.00 120.00°
Last column: magnetic moment on the atom in μB.
Positions (direct):
Sc 0.667 0.333 0.750  0.17
Br 0.636 0.638 0.647  -0.01
Br 0.364 0.002 0.147  -0.01
Br 0.998 0.362 0.147  -0.01
K 0.000 0.000 0.500  0.00
Br 0.002 0.364 0.647  -0.01
Br 0.002 0.638 0.853  -0.01
Br 0.638 0.002 0.353  -0.01
Br 0.636 0.998 0.853  -0.01
Ti 0.667 0.333 0.250  1.50
Ti 0.333 0.667 0.750  1.50
Br 0.362 0.998 0.647  -0.01
Br 0.362 0.364 0.853  -0.01
Br 0.364 0.362 0.353  -0.01
K 0.000 0.000 0.000  0.00
Sc 0.333 0.667 0.250  0.17
Br 0.638 0.636 0.147  -0.01
Br 0.998 0.636 0.353  -0.01

Crystal system ... trigonal
E_form (uncorrected) ... -1488 meV/atom

Crystalline La4Pm5Mg2 at its relaxed geometry. Source: Alexandria via LeMat-Bulk, functional PBE-GGA.

Cell: 3.598 8.953 14.371 Å, 125.39 97.19 90.00°
Positions (direct):
Pm 0.184 0.899 0.367
Pm 0.816 0.101 0.633
La 0.286 0.396 0.571
La 0.071 0.432 0.141
Pm 0.500 0.000 0.000
Mg 0.557 0.744 0.114
La 0.714 0.604 0.429
La 0.929 0.568 0.859
Pm 0.872 0.848 0.744
Pm 0.128 0.152 0.256
Mg 0.443 0.256 0.886

Energy of formation ... 0.05 eV/atom
Crystal system ... monoclinic

Crystalline Mg2SbSe at its relaxed geometry. Source: Alexandria via LeMat-Bulk, functional PBE-GGA.

Cell: 8.185 8.185 3.795 Å, 90.01 90.01 26.72°
Positions (direct):
Sb 0.496 0.496 0.625
Se 0.234 0.234 0.125
Mg 0.071 0.071 0.125
Mg 0.699 0.699 0.625

Crystal system ... orthorhombic
E_form (uncorrected) ... -593 meV/atom

Crystalline AlTlH3 at its relaxed geometry. Source: Alexandria via LeMat-Bulk, functional PBE-GGA.

Cell: 3.898 3.898 3.898 Å, 90.00 90.00 90.00°
Positions (direct):
H 0.500 0.000 0.000
H 0.000 0.500 0.000
Tl 0.500 0.500 0.500
Al 0.000 0.000 0.000
H 0.000 0.000 0.500

Crystal system ... cubic
VASP energy ... -14.932 eV/cell

Crystalline PmHo2CdHg4 at its relaxed geometry. Source: Alexandria via LeMat-Bulk, functional PBE-GGA.

Cell: 5.126 5.126 9.362 Å, 74.11 74.11 60.00°
Positions (direct):
Pm 0.000 0.000 0.000
Ho 0.241 0.241 0.277
Hg 0.124 0.124 0.629
Hg 0.375 0.375 0.874
Hg 0.625 0.625 0.126
Ho 0.759 0.759 0.723
Cd 0.500 0.500 0.500
Hg 0.876 0.876 0.371

Energy of formation ... -0.41 eV/atom
Crystal system ... trigonal